Entry 1:
## Sc3SiPb (PBE)

Data for an optimized crystal structure of Sc3SiPb.

ΔE to the lowest computed polymorph: 0.000 eV/atom
Formation energy (no corrections): -0.367 eV/atom

Structure (CIF):
```
data_Sc3SiPb
_cell_length_a 4.995
_cell_length_b 4.995
_cell_length_c 4.995
_cell_angle_alpha 90.00
_cell_angle_beta 90.00
_cell_angle_gamma 90.00
_space_group_name_H-M_alt 'P m -3 m'
_space_group_IT_number 221
_space_group_name_Hall '-P 4 2 3'
loop_
_atom_site_label
_atom_site_type_symbol
_atom_site_fract_x
_atom_site_fract_y
_atom_site_fract_z
Sc1 Sc 0.000 0.000 0.500
Si1 Si 0.000 0.000 0.000
Pb1 Pb 0.500 0.500 0.500
```

Entry 2:
## YHfAg2Pd (PBE)

Data for an optimized crystal structure of YHfAg2Pd.

VASP energy: -21.578 eV for the cell shown

Structure (CIF):
```
data_YHfAg2Pd
_cell_length_a 5.054
_cell_length_b 5.054
_cell_length_c 5.559
_cell_angle_alpha 90.00
_cell_angle_beta 90.00
_cell_angle_gamma 90.00
_space_group_name_H-M_alt 'P 4/m m m'
_space_group_IT_number 123
_space_group_name_Hall '-P 4 2'
loop_
_atom_site_label
_atom_site_type_symbol
_atom_site_fract_x
_atom_site_fract_y
_atom_site_fract_z
Y1 Y 0.000 0.000 0.000
Hf1 Hf 0.000 0.000 0.500
Ag1 Ag 0.000 0.500 0.500
Pd1 Pd 0.500 0.500 0.000
```

Entry 3:
## Si2GeI8 (PBE)

Data for an optimized crystal structure of Si2GeI8.

Formation energy (no corrections): -0.173 eV/atom

Structure (CIF):
```
data_Si2GeI8
_cell_length_a 14.441
_cell_length_b 10.461
_cell_length_c 7.602
_cell_angle_alpha 90.00
_cell_angle_beta 90.19
_cell_angle_gamma 90.00
_space_group_name_H-M_alt 'C 1 2/m 1'
_space_group_IT_number 12
loop_
_space_group_symop_operation_xyz
'x,y,z'
'-x,-y,-z'
'-x,y,-z'
'x,-y,z'
'x+1/2,y+1/2,z'
'-x+1/2,-y+1/2,-z'
'-x+1/2,y+1/2,-z'
'x+1/2,-y+1/2,z'
loop_
_atom_site_label
_atom_site_type_symbol
_atom_site_fract_x
_atom_site_fract_y
_atom_site_fract_z
Si1 Si 0.189 0.000 0.143
Ge1 Ge 0.000 0.000 0.500
I1 I 0.115 0.000 0.823
I2 I 0.130 0.193 0.326
I3 I 0.138 0.500 0.826
```

Entry 4:
## Sm2EuDy (PBE)

Data for an optimized crystal structure of Sm2EuDy.

ΔE to the lowest computed polymorph: 0.109 eV/atom

Structure (CIF):
```
data_Sm2EuDy
_cell_length_a 8.210
_cell_length_b 8.210
_cell_length_c 8.210
_cell_angle_alpha 90.00
_cell_angle_beta 90.00
_cell_angle_gamma 90.00
_space_group_name_H-M_alt 'F m -3 m'
_space_group_IT_number 225
_space_group_name_Hall '-F 4 2 3'
loop_
_atom_site_label
_atom_site_type_symbol
_atom_site_fract_x
_atom_site_fract_y
_atom_site_fract_z
Sm1 Sm 0.250 0.250 0.250
Eu1 Eu 0.000 0.000 0.000
Dy1 Dy 0.000 0.000 0.500
```

Entry 5:
## MgGa4Rh (PBE)

Data for an optimized crystal structure of MgGa4Rh.

ΔE to the lowest computed polymorph: 0.000 eV/atom

Structure (CIF):
```
data_MgGa4Rh
_cell_length_a 3.078
_cell_length_b 4.311
_cell_length_c 8.716
_cell_angle_alpha 84.87
_cell_angle_beta 83.18
_cell_angle_gamma 70.35
_space_group_name_H-M_alt 'P -1'
_space_group_IT_number 2
loop_
_space_group_symop_operation_xyz
'x,y,z'
'-x,-y,-z'
loop_
_atom_site_label
_atom_site_type_symbol
_atom_site_fract_x
_atom_site_fract_y
_atom_site_fract_z
Mg1 Mg 0.000 0.000 0.000
Ga1 Ga 0.246 0.090 0.363
Ga2 Ga 0.384 0.439 0.803
Rh1 Rh 0.500 0.500 0.500
```

Entry 6:
## Nd3ZnHg (PBE)

Data for an optimized crystal structure of Nd3ZnHg.

ΔE to the lowest computed polymorph: 0.065 eV/atom

Structure (CIF):
```
data_Nd3ZnHg
_cell_length_a 17.371
_cell_length_b 9.503
_cell_length_c 6.937
_cell_angle_alpha 90.00
_cell_angle_beta 92.14
_cell_angle_gamma 90.00
_space_group_name_H-M_alt 'C 1 2/c 1'
_space_group_IT_number 15
loop_
_space_group_symop_operation_xyz
'x,y,z'
'-x,-y,-z'
'-x,y,-z+1/2'
'x,-y,z+1/2'
'x+1/2,y+1/2,z'
'-x+1/2,-y+1/2,-z'
'-x+1/2,y+1/2,-z+1/2'
'x+1/2,-y+1/2,z+1/2'
loop_
_atom_site_label
_atom_site_type_symbol
_atom_site_fract_x
_atom_site_fract_y
_atom_site_fract_z
Nd1 Nd 0.068 0.249 0.005
Nd2 Nd 0.155 0.080 0.532
Nd3 Nd 0.161 0.442 0.517
Zn1 Zn 0.243 0.238 0.181
Hg1 Hg 0.000 0.001 0.250
Hg2 Hg 0.000 0.499 0.250
```